Density functional theory data (PBE with a Hubbard U) for NaMnBr2F after structural relaxation.

a b c (Å): 5.468 5.468 4.071
angles (deg): 90.00 90.00 90.00
Fractional coordinates of all 5 atoms:
Na (0.000, 0.000, 0.000)
Mn (0.500, 0.500, 0.500)
Br (0.000, 0.500, 0.500)
Br (0.500, 0.000, 0.500)
F (0.500, 0.500, 0.000)

Summary:
Space-group type ... P4/mmm, No. 123
Electronic total energy ... -22.186 eV for the cell shown
DOS(E_F) ... 0.000 states/eV/cell
V ... 121.71 Å³/cell
Total moment ... 5.00 μB per cell